Record 1
VASP calculation (GGA-PBE) on an optimized crystal structure of BeInAu2.

```
data_BeInAu2
_cell_length_a 4.601
_cell_length_b 4.601
_cell_length_c 4.601
_cell_angle_alpha 60.00
_cell_angle_beta 60.00
_cell_angle_gamma 60.00
_symmetry_space_group_name_H-M 'P 1'
_symmetry_Int_Tables_number 1
_symmetry_space_group_name_Hall 'P 1'
loop_
_atom_site_label
_atom_site_type_symbol
_atom_site_fract_x
_atom_site_fract_y
_atom_site_fract_z
Au1 Au 0.000 0.000 0.000
Au2 Au 0.750 0.750 0.750
Be1 Be 0.250 0.250 0.250
In1 In 0.500 0.500 0.500
```

=====

Record 2
VASP calculation (GGA-PBE) on an optimized crystal structure of BeIn2Au.

```
data_BeIn2Au
_cell_length_a 4.842
_cell_length_b 4.842
_cell_length_c 4.842
_cell_angle_alpha 60.00
_cell_angle_beta 60.00
_cell_angle_gamma 60.00
_symmetry_space_group_name_H-M 'P 1'
_symmetry_Int_Tables_number 1
_symmetry_space_group_name_Hall 'P 1'
loop_
_atom_site_label
_atom_site_type_symbol
_atom_site_fract_x
_atom_site_fract_y
_atom_site_fract_z
Au1 Au 0.500 0.500 0.500
Be1 Be 0.750 0.750 0.750
In1 In 0.000 0.000 0.000
In2 In 0.250 0.250 0.250
```

=====

Record 3
VASP calculation (GGA-PBE) on an optimized crystal structure of MgBeInAu.

```
data_MgBeInAu
_cell_length_a 4.596
_cell_length_b 4.596
_cell_length_c 4.596
_cell_angle_alpha 60.00
_cell_angle_beta 60.00
_cell_angle_gamma 60.00
_symmetry_space_group_name_H-M 'P 1'
_symmetry_Int_Tables_number 1
_symmetry_space_group_name_Hall 'P 1'
loop_
_atom_site_label
_atom_site_type_symbol
_atom_site_fract_x
_atom_site_fract_y
_atom_site_fract_z
Au1 Au 0.750 0.750 0.750
Be1 Be 0.000 0.000 0.000
In1 In 0.250 0.250 0.250
Mg1 Mg 0.500 0.500 0.500
```

=====

Record 4
VASP calculation (GGA-PBE) on an optimized crystal structure of SrBeInAu.

```
data_SrBeInAu
_cell_length_a 5.005
_cell_length_b 5.005
_cell_length_c 5.005
_cell_angle_alpha 60.00
_cell_angle_beta 60.00
_cell_angle_gamma 60.00
_symmetry_space_group_name_H-M 'P 1'
_symmetry_Int_Tables_number 1
_symmetry_space_group_name_Hall 'P 1'
loop_
_atom_site_label
_atom_site_type_symbol
_atom_site_fract_x
_atom_site_fract_y
_atom_site_fract_z
Au1 Au 0.750 0.750 0.750
Be1 Be 0.250 0.250 0.250
In1 In 0.000 0.000 0.000
Sr1 Sr 0.500 0.500 0.500
```

=====

Record 5
VASP calculation (GGA-PBE) on an optimized crystal structure of SrBeInAu.

```
data_SrBeInAu
_cell_length_a 5.026
_cell_length_b 5.026
_cell_length_c 5.026
_cell_angle_alpha 60.00
_cell_angle_beta 60.00
_cell_angle_gamma 60.00
_symmetry_space_group_name_H-M 'P 1'
_symmetry_Int_Tables_number 1
_symmetry_space_group_name_Hall 'P 1'
loop_
_atom_site_label
_atom_site_type_symbol
_atom_site_fract_x
_atom_site_fract_y
_atom_site_fract_z
Au1 Au 0.750 0.750 0.750
Be1 Be 0.000 0.000 0.000
In1 In 0.250 0.250 0.250
Sr1 Sr 0.500 0.500 0.500
```

=====

Record 6
VASP calculation (GGA-PBE) on an optimized crystal structure of BeZnInAu.

```
data_BeZnInAu
_cell_length_a 4.565
_cell_length_b 4.565
_cell_length_c 4.565
_cell_angle_alpha 60.00
_cell_angle_beta 60.00
_cell_angle_gamma 60.00
_symmetry_space_group_name_H-M 'P 1'
_symmetry_Int_Tables_number 1
_symmetry_space_group_name_Hall 'P 1'
loop_
_atom_site_label
_atom_site_type_symbol
_atom_site_fract_x
_atom_site_fract_y
_atom_site_fract_z
Au1 Au 0.750 0.750 0.750
Be1 Be 0.500 0.500 0.500
In1 In 0.000 0.000 0.000
Zn1 Zn 0.250 0.250 0.250
```

=====

Record 7
VASP calculation (GGA-PBE) on an optimized crystal structure of BeZnInAu.

```
data_BeZnInAu
_cell_length_a 4.530
_cell_length_b 4.530
_cell_length_c 4.530
_cell_angle_alpha 60.00
_cell_angle_beta 60.00
_cell_angle_gamma 60.00
_symmetry_space_group_name_H-M 'P 1'
_symmetry_Int_Tables_number 1
_symmetry_space_group_name_Hall 'P 1'
loop_
_atom_site_label
_atom_site_type_symbol
_atom_site_fract_x
_atom_site_fract_y
_atom_site_fract_z
Au1 Au 0.750 0.750 0.750
Be1 Be 0.000 0.000 0.000
In1 In 0.250 0.250 0.250
Zn1 Zn 0.500 0.500 0.500
```

=====

Record 8
VASP calculation (GGA-PBE) on an optimized crystal structure of BeIr2Au.

```
data_BeIr2Au
_cell_length_a 4.346
_cell_length_b 4.346
_cell_length_c 4.346
_cell_angle_alpha 60.00
_cell_angle_beta 60.00
_cell_angle_gamma 60.00
_symmetry_space_group_name_H-M 'P 1'
_symmetry_Int_Tables_number 1
_symmetry_space_group_name_Hall 'P 1'
loop_
_atom_site_label
_atom_site_type_symbol
_atom_site_fract_x
_atom_site_fract_y
_atom_site_fract_z
Au1 Au 0.250 0.250 0.250
Be1 Be 0.500 0.500 0.500
Ir1 Ir 0.000 0.000 0.000
Ir2 Ir 0.750 0.750 0.750
```

=====

Calculated uncorrected energy, -3.06, -2.73, -2.76, -2.89, -2.78, -2.47, -2.52, -5.82 eV/atom (same order as the records).